First-principles (PBE-GGA) data for a relaxed MoOsW2 crystal, as listed in the Alexandria database.

Computed properties:
M_tot = 0.0000 μB/atom
ΔE to the lowest computed polymorph = 0.263 kcal/mol of atoms
Raw total energy = -11.845 eV per atom
DOS at the Fermi energy = 3.416 states/eV/cell
Space-group type = Fm-3m (225)
Formation enthalpy at 0 K = 0.15 eV per atom

a = 4.4570 Å, b = 4.4570 Å, c = 4.4570 Å
α = 60.00°, β = 60.00°, γ = 60.00°
With the nearest neighbours (Å) after each atom.
Element x y z (fractional)
Mo1 0.0000 0.0000 0.0000  8 W 2.73
Os1 0.5000 0.5000 0.5000  8 W 2.73
W1 0.2500 0.2500 0.2500  4 Mo 2.73, 4 Os 2.73
W2 0.7500 0.7500 0.7500  4 Mo 2.73, 4 Os 2.73